# ErMg2H6 (GGA-PBE, relaxed)
data_ErMg2H6
_space_group_name_H-M_alt 'P 1'
_space_group_IT_number 1
_cell_length_a 5.289
_cell_length_b 5.289
_cell_length_c 5.289
_cell_angle_alpha 60.00
_cell_angle_beta 60.00
_cell_angle_gamma 60.00
loop_
_space_group_symop_operation_xyz
'x,y,z'
loop_
_atom_site_label
_atom_site_type_symbol
_atom_site_fract_x
_atom_site_fract_y
_atom_site_fract_z
_atom_site_occupancy
Er1 Er 0.000 0.000 0.000 1
Mg1 Mg 0.250 0.250 0.250 1
Mg2 Mg 0.750 0.750 0.750 1
H1 H 0.274 0.274 0.726 1
H2 H 0.274 0.726 0.274 1
H3 H 0.274 0.726 0.726 1
H4 H 0.726 0.274 0.274 1
H5 H 0.726 0.274 0.726 1
H6 H 0.726 0.726 0.274 1
# * spin magnetization: 0.00 μB/atom
# * E_tot: -25.72 eV/cell
# * volume: 11.63 Å³/atom
# * symmetry: No. 225